LaSiNi2 | GGA-PBE | optimized geometry

abc: 2.9759 3.6008 6.4721
angles: 90.00 102.57 90.00
Element x y z (fractional)
La 0.0000 0.0000 0.0000
Si 0.5000 0.0000 0.5000
Ni 0.2905 0.5000 0.6683
Ni 0.7095 0.5000 0.3317

For the density of states at the Fermi level, the calculation gives 0.73 states/eV per atom. The value obtained for the final energy is -0.21004 Ha/atom. As for the formation energy without anion corrections: -0.237 eV/atom.